Record 1
Density functional theory data (PBE-GGA) for a geometry-optimized PmZnCuNi structure.

Unit cell a=4.2402 b=4.2367 c=5.2518 alpha=113.92 beta=90.00 gamma=120.03
Fractional positions:
Pm1 0.6184 0.2369 0.4975
Zn1 0.1101 0.2202 0.9726
Cu1 0.8214 0.6429 0.1061
Ni1 0.4163 0.8327 0.8912

Final energy: -4.28 eV/atom
Distance to the lowest polymorph of the same formula: 0 meV/atom

Record 2
Density functional theory data (PBE-GGA) for a geometry-optimized PmZn3CuNi structure.

Unit cell a=5.3178 b=6.2831 c=6.9536 alpha=116.86 beta=90.00 gamma=90.00
Fractional positions:
Pm1 0.7500 0.2815 0.5630
Pm2 0.2500 0.7185 0.4370
Zn1 0.2500 0.1472 0.2945
Zn2 0.0000 0.3026 0.0000
Zn3 0.5000 0.6974 0.0000
Zn4 0.5000 0.3026 0.0000
Zn5 0.0000 0.6974 0.0000
Zn6 0.7500 0.8528 0.7055
Cu1 0.2500 0.9419 0.8837
Cu2 0.7500 0.0581 0.1163
Ni1 0.2500 0.3506 0.7013
Ni2 0.7500 0.6494 0.2987

Final energy: -3.20 eV/atom

Record 3
Density functional theory data (PBE-GGA) for a geometry-optimized PmZnCu3Ni structure.

Unit cell a=5.0998 b=5.2861 c=7.6180 alpha=110.30 beta=90.00 gamma=90.00
Fractional positions:
Pm1 0.7500 0.3103 0.6206
Pm2 0.2500 0.6897 0.3794
Zn1 0.2500 0.8887 0.7775
Zn2 0.7500 0.1113 0.2225
Cu1 0.2500 0.1258 0.2516
Cu2 0.0000 0.2685 0.0000
Cu3 0.5000 0.7315 0.0000
Cu4 0.5000 0.2685 0.0000
Cu5 0.0000 0.7315 0.0000
Cu6 0.7500 0.8742 0.7484
Ni1 0.2500 0.3707 0.7414
Ni2 0.7500 0.6293 0.2586

Final energy: -4.07 eV/atom